(1)
The following is a PBE calculation of a relaxed structure of AgMoIr, from Alexandria.

a = 4.9171 Å, b = 4.9171 Å, c = 4.9171 Å
α = 146.69°, β = 133.09°, γ = 58.75°
With the nearest neighbours (Å) after each atom.
Positions (direct):
Ag1 0.0000 0.0000 0.0000  5 Mo 2.76-2.86, 5 Ir 2.77-2.85, 2 Ag 2.82
Mo1 0.6783 0.6783 0.0000  4 Ir 2.71, 5 Ag 2.76-2.86, 2 Mo 2.82
Ir1 0.3229 0.3229 0.0000  4 Mo 2.71, 5 Ag 2.77-2.85, 2 Ir 2.82

Properties
N(E_F)   0.7189 states/eV/atom
Energy   -21.97 eV for the cell shown
Energy of formation   191 meV per atom
Energy above the lowest structure with this stoichiometry   70 meV/atom



(2)
The following is a PBE calculation of a relaxed structure of WCCl2, from Alexandria.

a = 6.7323 Å, b = 6.7323 Å, c = 6.7323 Å
α = 94.95°, β = 94.95°, γ = 145.84°
With the nearest neighbours (Å) after each atom.
Positions (direct):
W1 0.0000 0.0000 0.0000  2 C 1.98
W2 0.7500 0.2500 0.5000  2 C 1.98
C1 0.2500 0.7500 0.5000  2 W 1.98
C2 0.5000 0.5000 0.0000  2 W 1.98
Cl1 0.3750 0.2211 0.3461  2 W 2.49
Cl2 0.7789 0.1250 0.1539  2 W 2.49
Cl3 0.8750 0.0289 0.6539  2 W 2.49
Cl4 0.9711 0.6250 0.8461  2 W 2.49

Properties
Raw formation energy   2.4 eV/f.u.
N(E_F)   0.7544 states/eV/atom
Energy   -46.86 eV for the cell shown
Energy above the lowest structure with this stoichiometry   0 meV/atom



(3)
The following is a PBE calculation of a relaxed structure of Be2InPdPb, from Alexandria.

a = 4.5732 Å, b = 4.5732 Å, c = 5.3988 Å
α = 90.00°, β = 90.00°, γ = 90.00°
With the nearest neighbours (Å) after each atom.
Positions (direct):
Be1 0.0000 0.5000 0.0000  2 Pb 2.29
Be2 0.5000 0.0000 0.0000  2 Pb 2.29
In1 0.0000 0.0000 0.5000  4 Pd 3.23, 8 Be 3.54
Pd1 0.5000 0.5000 0.5000  2 Pb 2.70
Pb1 0.5000 0.5000 0.0000  4 Be 2.29

Properties
N(E_F)   0.4119 states/eV/atom
Energy   -14.78 eV for the cell shown
Energy of formation   863 meV per atom



(4)
The following is a PBE calculation of a relaxed structure of PrTh5Se6, from Alexandria.

a = 7.2955 Å, b = 7.2955 Å, c = 7.2882 Å
α = 99.59°, β = 99.59°, γ = 119.87°
With the nearest neighbours (Å) after each atom.
Positions (direct):
Pr1 0.0000 0.0000 0.0000  6 Se 2.98-2.99
Th1 0.1648 0.8352 0.5000  6 Se 2.97-2.98
Th2 0.3328 0.6672 0.0000  6 Se 2.97-2.98
Th3 0.5000 0.5000 0.5000  6 Se 2.97-2.98
Th4 0.6672 0.3328 0.0000  6 Se 2.97-2.98
Th5 0.8352 0.1648 0.5000  6 Se 2.97-2.98
Se1 0.0840 0.4185 0.2510  5 Th 2.98, 1 Pr 2.99
Se2 0.2522 0.2522 0.7514  5 Th 2.97, 1 Pr 2.98
Se3 0.4185 0.0840 0.2510  5 Th 2.98, 1 Pr 2.99
Se4 0.5815 0.9160 0.7490  5 Th 2.98, 1 Pr 2.99
Se5 0.7478 0.7478 0.2486  5 Th 2.97, 1 Pr 2.98
Se6 0.9160 0.5815 0.7490  5 Th 2.98, 1 Pr 2.99

Properties
Raw formation energy   -19.0 eV/f.u.
N(E_F)   0.7166 states/eV/atom
Energy   -81.83 eV for the cell shown



(5)
The following is a PBE calculation of a relaxed structure of TcHgO5, from Alexandria.

a = 5.7347 Å, b = 5.7347 Å, c = 10.2682 Å
α = 102.33°, β = 102.33°, γ = 59.06°
With the nearest neighbours (Å) after each atom.
Positions (direct):
Tc1 0.1306 0.8694 0.5000  4 O 1.73-1.80
Tc2 0.8694 0.1306 0.0000  4 O 1.73-1.80
Hg1 0.6586 0.7713 0.2333  2 O 2.02-2.07
Hg2 0.7713 0.6586 0.7333  2 O 2.02-2.07
O1 0.0373 0.2082 0.5560  1 Tc 1.73
O2 0.0610 0.6944 0.8744  1 Hg 2.02, 1 O 2.21
O3 0.2082 0.0373 0.0560  1 Tc 1.73
O4 0.2447 0.7666 0.3438  1 Tc 1.73
O5 0.4245 0.6748 0.6133  1 Tc 1.80
O6 0.6748 0.4245 0.1134  1 Tc 1.80
O7 0.6944 0.0610 0.3744  1 Hg 2.02, 1 O 2.21
O8 0.7655 0.9008 0.0239  1 Tc 1.78
O9 0.7666 0.2447 0.8438  1 Tc 1.73
O10 0.9008 0.7655 0.5239  1 Tc 1.78

Properties
Raw formation energy   -5.1 eV/f.u.
Energy   -81.12 eV for the cell shown



(6)
The following is a PBE calculation of a relaxed structure of PuZr2Se, from Alexandria.

a = 9.9058 Å, b = 9.9058 Å, c = 9.9058 Å
α = 19.68°, β = 19.68°, γ = 19.68°
With the nearest neighbours (Å) after each atom.
Positions (direct):
Pu1 0.0000 0.0000 0.0000  2 Zr 2.94
Zr1 0.1008 0.1008 0.1008  3 Se 2.74, 1 Pu 2.94
Zr2 0.8992 0.8992 0.8992  3 Se 2.74, 1 Pu 2.94
Se1 0.5000 0.5000 0.5000  6 Zr 2.74

Properties
Raw formation energy   -0.7 eV/f.u.
N(E_F)   2.0960 states/eV/atom
Energy   -35.58 eV for the cell shown



(7)
The following is a PBE calculation of a relaxed structure of Er4AgPt, from Alexandria.

a = 9.4912 Å, b = 9.4912 Å, c = 9.4912 Å
α = 60.00°, β = 60.00°, γ = 60.00°
With the nearest neighbours (Å) after each atom.
Positions (direct):
Er1 0.1849 0.1849 0.8151  2 Ag 3.17, 2 Pt 3.45, 6 Er 3.45-3.51
Er2 0.1849 0.8151 0.1849  2 Ag 3.17, 2 Pt 3.45, 6 Er 3.45-3.51
Er3 0.1849 0.8151 0.8151  2 Ag 3.17, 2 Pt 3.45, 6 Er 3.45-3.51
Er4 0.3937 0.3937 0.3937  3 Pt 2.84
Er5 0.3937 0.3937 0.8189  3 Pt 2.84
Er6 0.3937 0.8189 0.3937  3 Pt 2.84
Er7 0.5611 0.5611 0.9389  2 Pt 2.81
Er8 0.5611 0.9389 0.5611  2 Pt 2.81
Er9 0.5611 0.9389 0.9389  2 Pt 2.81
Er10 0.8151 0.1849 0.1849  2 Ag 3.17, 2 Pt 3.45, 6 Er 3.45-3.51
Er11 0.8151 0.1849 0.8151  2 Ag 3.17, 2 Pt 3.45, 6 Er 3.45-3.51
Er12 0.8151 0.8151 0.1849  2 Ag 3.17, 2 Pt 3.45, 6 Er 3.45-3.51
Er13 0.8189 0.3937 0.3937  3 Pt 2.84
Er14 0.9389 0.5611 0.5611  2 Pt 2.81
Er15 0.9389 0.5611 0.9389  2 Pt 2.81
Er16 0.9389 0.9389 0.5611  2 Pt 2.81
Ag1 0.1664 0.1664 0.1664  9 Er 3.17-3.44, 3 Ag 3.17
Ag2 0.1664 0.1664 0.5008  9 Er 3.17-3.44, 3 Ag 3.17
Ag3 0.1664 0.5008 0.1664  9 Er 3.17-3.44, 3 Ag 3.17
Ag4 0.5008 0.1664 0.1664  9 Er 3.17-3.44, 3 Ag 3.17
Pt1 0.1841 0.6053 0.6053  6 Er 2.81-2.84
Pt2 0.6053 0.1841 0.6053  6 Er 2.81-2.84
Pt3 0.6053 0.6053 0.1841  6 Er 2.81-2.84
Pt4 0.6053 0.6053 0.6053  6 Er 2.81-2.84

Properties
N(E_F)   0.9562 states/eV/atom
Energy   -123.32 eV for the cell shown
Energy of formation   -614 meV per atom
Energy above the lowest structure with this stoichiometry   0 meV/atom



(8)
The following is a PBE calculation of a relaxed structure of LaNd5HoEr2, from Alexandria.

a = 10.5662 Å, b = 10.5662 Å, c = 10.6769 Å
α = 90.00°, β = 90.00°, γ = 148.57°
With the nearest neighbours (Å) after each atom.
Positions (direct):
La1 0.0847 0.9153 0.5000  5 Nd 3.10-3.36
La2 0.9153 0.0847 0.0000  5 Nd 3.10-3.36
Nd1 0.0201 0.9799 0.7894  2 La 3.10-3.36
Nd2 0.1152 0.8848 0.0722  6 Nd 3.59-3.93, 4 Er 3.61-3.64, 1 Ho 3.79
Nd3 0.2038 0.7962 0.7551  4 Nd 3.45-3.83, 3 Ho 3.54-3.81, 3 Er 3.58-3.73, 1 La 3.65
Nd4 0.2198 0.7802 0.3631  1 La 3.11, 1 Er 3.35, 2 Nd 3.45
Nd5 0.4831 0.5169 0.0711  2 La 3.27, 3 Er 3.47-3.65
Nd6 0.5169 0.4831 0.5711  2 La 3.27, 3 Er 3.47-3.65
Nd7 0.7802 0.2198 0.8631  1 La 3.11, 1 Er 3.35, 2 Nd 3.45
Nd8 0.7962 0.2038 0.2551  4 Nd 3.45-3.83, 3 Ho 3.54-3.81, 3 Er 3.58-3.73, 1 La 3.65
Nd9 0.8848 0.1152 0.5722  6 Nd 3.59-3.93, 4 Er 3.61-3.64, 1 Ho 3.79
Nd10 0.9799 0.0201 0.2894  2 La 3.10-3.36
Ho1 0.3012 0.6988 0.0600  2 Er 3.43-3.69, 8 Nd 3.54-3.81, 2 La 3.74
Ho2 0.6988 0.3012 0.5600  2 Er 3.43-3.69, 8 Nd 3.54-3.81, 2 La 3.74
Er1 0.3844 0.6156 0.3668  9 Nd 3.35-3.74, 1 Ho 3.69
Er2 0.3865 0.6135 0.7828  1 Ho 3.43, 7 Nd 3.49-3.73, 2 La 3.73
Er3 0.6135 0.3865 0.2828  1 Ho 3.43, 7 Nd 3.49-3.73, 2 La 3.73
Er4 0.6156 0.3844 0.8668  9 Nd 3.35-3.74, 1 Ho 3.69

Properties
N(E_F)   1.5905 states/eV/atom
Energy   -82.23 eV for the cell shown
Energy of formation   151 meV per atom